This record from Alexandria describes a relaxed structure of Ta2CrW. The functional is PBEsol.

Geometry as CIF:
```
data_Ta2CrW
_chemical_formula_sum 'Ta2 Cr1 W1'
_cell_length_a 3.134
_cell_length_b 4.440
_cell_length_c 5.226
_cell_angle_alpha 115.14
_cell_angle_beta 107.45
_cell_angle_gamma 90.00
_symmetry_space_group_name_H-M 'P 1'
_symmetry_Int_Tables_number 1
loop_
_symmetry_equiv_pos_as_xyz
'x,y,z'
loop_
_atom_site_label
_atom_site_type_symbol
_atom_site_fract_x
_atom_site_fract_y
_atom_site_fract_z
W1 W 0.510 0.010 0.020
Ta1 Ta 0.991 0.491 0.982
Ta2 Ta 0.754 0.754 0.508
Cr1 Cr 0.245 0.245 0.490
```

- D(E_F) (states/eV/cell) = 3.1
- volume (A^3/atom) = 15.5
- SG = No. 44
- DFT total energy (eV per atom) = -12.298

=====

This record from Alexandria describes a relaxed structure of YTa2Cr. The functional is PBEsol.

Geometry as CIF:
```
data_YTa2Cr
_chemical_formula_sum 'Y1 Ta2 Cr1'
_cell_length_a 4.621
_cell_length_b 4.621
_cell_length_c 4.621
_cell_angle_alpha 60.00
_cell_angle_beta 60.00
_cell_angle_gamma 60.00
_symmetry_space_group_name_H-M 'P 1'
_symmetry_Int_Tables_number 1
loop_
_symmetry_equiv_pos_as_xyz
'x,y,z'
loop_
_atom_site_label
_atom_site_type_symbol
_atom_site_fract_x
_atom_site_fract_y
_atom_site_fract_z
Y1 Y 0.500 0.500 0.500
Ta1 Ta 0.250 0.250 0.250
Ta2 Ta 0.750 0.750 0.750
Cr1 Cr 0.000 0.000 0.000
```

- D(E_F) (states/eV/cell) = 4.1
- volume (A^3/atom) = 17.4
- SG = No. 225
- E above lowest polymorph (meV per atom) = 247

=====

This record from Alexandria describes a relaxed structure of Y2TaCr. The functional is PBEsol.

Geometry as CIF:
```
data_Y2TaCr
_chemical_formula_sum 'Y2 Ta1 Cr1'
_cell_length_a 4.535
_cell_length_b 4.535
_cell_length_c 5.366
_cell_angle_alpha 114.99
_cell_angle_beta 114.99
_cell_angle_gamma 90.00
_symmetry_space_group_name_H-M 'P 1'
_symmetry_Int_Tables_number 1
loop_
_symmetry_equiv_pos_as_xyz
'x,y,z'
loop_
_atom_site_label
_atom_site_type_symbol
_atom_site_fract_x
_atom_site_fract_y
_atom_site_fract_z
Ta1 Ta 0.000 0.000 0.000
Cr1 Cr 0.500 0.500 0.000
Y1 Y 0.250 0.750 0.500
Y2 Y 0.750 0.250 0.500
```

- D(E_F) (states/eV/cell) = 4.5
- volume (A^3/atom) = 22.1
- SG = No. 139
- E above lowest polymorph (meV per atom) = 275

=====

This record from Alexandria describes a relaxed structure of YTa2Cr. The functional is PBEsol.

Geometry as CIF:
```
data_YTa2Cr
_chemical_formula_sum 'Y1 Ta2 Cr1'
_cell_length_a 3.210
_cell_length_b 3.210
_cell_length_c 7.223
_cell_angle_alpha 90.00
_cell_angle_beta 90.00
_cell_angle_gamma 90.00
_symmetry_space_group_name_H-M 'P 1'
_symmetry_Int_Tables_number 1
loop_
_symmetry_equiv_pos_as_xyz
'x,y,z'
loop_
_atom_site_label
_atom_site_type_symbol
_atom_site_fract_x
_atom_site_fract_y
_atom_site_fract_z
Ta1 Ta 0.500 0.500 0.209
Ta2 Ta 0.000 0.000 0.974
Y1 Y 0.000 0.000 0.517
Cr1 Cr 0.500 0.500 0.799
```

- D(E_F) (states/eV/cell) = 5.1
- volume (A^3/atom) = 18.6
- SG = No. 99
- E above lowest polymorph (meV per atom) = 0

=====

This record from Alexandria describes a relaxed structure of Y2TaCr. The functional is PBEsol.

Geometry as CIF:
```
data_Y2TaCr
_chemical_formula_sum 'Y2 Ta1 Cr1'
_cell_length_a 3.396
_cell_length_b 5.059
_cell_length_c 5.855
_cell_angle_alpha 115.60
_cell_angle_beta 106.86
_cell_angle_gamma 90.00
_symmetry_space_group_name_H-M 'P 1'
_symmetry_Int_Tables_number 1
loop_
_symmetry_equiv_pos_as_xyz
'x,y,z'
loop_
_atom_site_label
_atom_site_type_symbol
_atom_site_fract_x
_atom_site_fract_y
_atom_site_fract_z
Y1 Y 0.991 0.491 0.983
Y2 Y 0.777 0.777 0.555
Cr1 Cr 0.531 0.031 0.062
Ta1 Ta 0.200 0.200 0.401
```

- D(E_F) (states/eV/cell) = 5.1
- volume (A^3/atom) = 21.5
- SG = No. 44
- E above lowest polymorph (meV per atom) = 0

=====

This record from Alexandria describes a relaxed structure of TaZnCr. The functional is PBEsol.

Geometry as CIF:
```
data_TaZnCr
_chemical_formula_sum 'Ta1 Zn1 Cr1'
_cell_length_a 4.213
_cell_length_b 4.213
_cell_length_c 4.213
_cell_angle_alpha 60.00
_cell_angle_beta 60.00
_cell_angle_gamma 60.00
_symmetry_space_group_name_H-M 'P 1'
_symmetry_Int_Tables_number 1
loop_
_symmetry_equiv_pos_as_xyz
'x,y,z'
loop_
_atom_site_label
_atom_site_type_symbol
_atom_site_fract_x
_atom_site_fract_y
_atom_site_fract_z
Zn1 Zn 0.000 0.000 0.000
Ta1 Ta 0.250 0.250 0.250
Cr1 Cr 0.500 0.500 0.500
```

- D(E_F) (states/eV/cell) = 3.8
- volume (A^3/atom) = 17.6
- SG = No. 216
- DFT total energy (eV per atom) = -6.927

=====

This record from Alexandria describes a relaxed structure of TaZn2Cr. The functional is PBEsol.

Geometry as CIF:
```
data_TaZn2Cr
_chemical_formula_sum 'Ta1 Zn2 Cr1'
_cell_length_a 2.608
_cell_length_b 4.081
_cell_length_c 5.204
_cell_angle_alpha 90.00
_cell_angle_beta 90.00
_cell_angle_gamma 90.00
_symmetry_space_group_name_H-M 'P 1'
_symmetry_Int_Tables_number 1
loop_
_symmetry_equiv_pos_as_xyz
'x,y,z'
loop_
_atom_site_label
_atom_site_type_symbol
_atom_site_fract_x
_atom_site_fract_y
_atom_site_fract_z
Cr1 Cr 0.500 0.500 0.000
Zn1 Zn 0.000 0.000 0.765
Zn2 Zn 0.000 0.000 0.235
Ta1 Ta 0.500 0.500 0.500
```

- D(E_F) (states/eV/cell) = 1.9
- volume (A^3/atom) = 13.8
- SG = No. 47
- E above lowest polymorph (meV per atom) = 0

=====

This record from Alexandria describes a relaxed structure of TaZn2Cr. The functional is PBEsol.

Geometry as CIF:
```
data_TaZn2Cr
_chemical_formula_sum 'Ta1 Zn2 Cr1'
_cell_length_a 2.644
_cell_length_b 2.644
_cell_length_c 8.426
_cell_angle_alpha 90.00
_cell_angle_beta 90.00
_cell_angle_gamma 105.11
_symmetry_space_group_name_H-M 'P 1'
_symmetry_Int_Tables_number 1
loop_
_symmetry_equiv_pos_as_xyz
'x,y,z'
loop_
_atom_site_label
_atom_site_type_symbol
_atom_site_fract_x
_atom_site_fract_y
_atom_site_fract_z
Zn1 Zn 0.000 0.000 0.991
Zn2 Zn 0.500 0.500 0.743
Ta1 Ta 0.500 0.500 0.258
Cr1 Cr 0.000 0.000 0.508
```

- D(E_F) (states/eV/cell) = 3.4
- volume (A^3/atom) = 14.2
- SG = No. 35
- E above lowest polymorph (meV per atom) = 17

=====

This record from Alexandria describes a relaxed structure of TaZn2Cr. The functional is PBEsol.

Geometry as CIF:
```
data_TaZn2Cr
_chemical_formula_sum 'Ta1 Zn2 Cr1'
_cell_length_a 2.718
_cell_length_b 2.718
_cell_length_c 9.140
_cell_angle_alpha 81.45
_cell_angle_beta 81.45
_cell_angle_gamma 60.00
_symmetry_space_group_name_H-M 'P 1'
_symmetry_Int_Tables_number 1
loop_
_symmetry_equiv_pos_as_xyz
'x,y,z'
loop_
_atom_site_label
_atom_site_type_symbol
_atom_site_fract_x
_atom_site_fract_y
_atom_site_fract_z
Zn1 Zn 0.004 0.004 0.988
Zn2 Zn 0.751 0.751 0.746
Ta1 Ta 0.249 0.249 0.253
Cr1 Cr 0.496 0.496 0.513
```

- D(E_F) (states/eV/cell) = 3.0
- volume (A^3/atom) = 14.4
- SG = No. 160
- E above lowest polymorph (meV per atom) = 154

=====

This record from Alexandria describes a relaxed structure of TaZn2Cr. The functional is PBEsol.

Geometry as CIF:
```
data_TaZn2Cr
_chemical_formula_sum 'Ta1 Zn2 Cr1'
_cell_length_a 4.310
_cell_length_b 4.310
_cell_length_c 4.310
_cell_angle_alpha 60.00
_cell_angle_beta 60.00
_cell_angle_gamma 60.00
_symmetry_space_group_name_H-M 'P 1'
_symmetry_Int_Tables_number 1
loop_
_symmetry_equiv_pos_as_xyz
'x,y,z'
loop_
_atom_site_label
_atom_site_type_symbol
_atom_site_fract_x
_atom_site_fract_y
_atom_site_fract_z
Zn1 Zn 0.000 0.000 0.000
Zn2 Zn 0.750 0.750 0.750
Ta1 Ta 0.250 0.250 0.250
Cr1 Cr 0.500 0.500 0.500
```

- D(E_F) (states/eV/cell) = 4.5
- volume (A^3/atom) = 14.2
- SG = No. 216
- E above lowest polymorph (meV per atom) = 214

=====

This record from Alexandria describes a relaxed structure of Zr2TaCr. The functional is PBEsol.

Geometry as CIF:
```
data_Zr2TaCr
_chemical_formula_sum 'Zr2 Ta1 Cr1'
_cell_length_a 2.951
_cell_length_b 5.400
_cell_length_c 5.400
_cell_angle_alpha 116.23
_cell_angle_beta 100.67
_cell_angle_gamma 100.67
_symmetry_space_group_name_H-M 'P 1'
_symmetry_Int_Tables_number 1
loop_
_symmetry_equiv_pos_as_xyz
'x,y,z'
loop_
_atom_site_label
_atom_site_type_symbol
_atom_site_fract_x
_atom_site_fract_y
_atom_site_fract_z
Ta1 Ta 0.500 0.000 0.000
Cr1 Cr 0.500 0.500 0.500
Zr1 Zr 0.000 0.000 0.500
Zr2 Zr 0.000 0.500 0.000
```

- D(E_F) (states/eV/cell) = 6.3
- volume (A^3/atom) = 18.1
- SG = No. 12
- E above lowest polymorph (meV per atom) = 118

=====

This record from Alexandria describes a relaxed structure of Zr2TaCr. The functional is PBEsol.

Geometry as CIF:
```
data_Zr2TaCr
_chemical_formula_sum 'Zr2 Ta1 Cr1'
_cell_length_a 3.024
_cell_length_b 4.197
_cell_length_c 5.836
_cell_angle_alpha 90.00
_cell_angle_beta 102.80
_cell_angle_gamma 90.00
_symmetry_space_group_name_H-M 'P 1'
_symmetry_Int_Tables_number 1
loop_
_symmetry_equiv_pos_as_xyz
'x,y,z'
loop_
_atom_site_label
_atom_site_type_symbol
_atom_site_fract_x
_atom_site_fract_y
_atom_site_fract_z
Cr1 Cr 0.496 0.000 0.519
Zr1 Zr 0.702 0.500 0.278
Zr2 Zr 0.995 0.000 0.982
Ta1 Ta 0.307 0.500 0.721
```

- D(E_F) (states/eV/cell) = 4.8
- volume (A^3/atom) = 18.1
- SG = No. 6
- E above lowest polymorph (meV per atom) = 0